(1)
! Tb15Sm4Ho (PBE, relaxed); values from VASP
! D(E_F)	27.2	states/eV per cell
! calculated formation energy	0.017	eV/atom
&SYSTEM
  ibrav = 0, nat = 20, ntyp = 3
/
ATOMIC_SPECIES
Tb 158.93 Tb.upf
Sm 150.36 Sm.upf
Ho 164.93 Ho.upf
ATOMIC_POSITIONS crystal
Tb 0.500 0.500 0.000
Tb 0.500 0.500 0.199
Tb 0.500 0.500 0.400
Tb 0.500 0.500 0.600
Tb 0.500 0.500 0.801
Tb 0.500 0.000 0.099
Tb 0.500 0.000 0.300
Tb 0.500 0.000 0.500
Tb 0.500 0.000 0.700
Tb 0.500 0.000 0.901
Tb 0.000 0.500 0.099
Tb 0.000 0.500 0.300
Tb 0.000 0.500 0.500
Tb 0.000 0.500 0.700
Tb 0.000 0.500 0.901
Sm 0.000 0.000 0.200
Sm 0.000 0.000 0.400
Sm 0.000 0.000 0.600
Sm 0.000 0.000 0.800
Ho 0.000 0.000 0.000
CELL_PARAMETERS angstrom
5.054 0.000 0.000
0.000 5.054 0.000
0.000 0.000 25.244

***

(2)
! TcMo2As (PBE, relaxed); values from VASP
! D(E_F)	3.0	states/eV per cell
! calculated formation energy	0.158	eV/atom
&SYSTEM
  ibrav = 0, nat = 4, ntyp = 3
/
ATOMIC_SPECIES
As 74.92 As.upf
Mo 95.94 Mo.upf
Tc 98.00 Tc.upf
ATOMIC_POSITIONS crystal
As 0.000 0.500 0.500
Mo 0.000 0.000 0.000
Mo 0.500 0.500 0.000
Tc 0.500 0.000 0.500
CELL_PARAMETERS angstrom
4.867 0.004 0.000
-2.228 4.327 0.000
0.000 0.000 2.927

***

(3)
! NaSr3Pt (PBE, relaxed); values from VASP
! D(E_F)	8.8	states/eV per cell
! calculated formation energy	-0.377	eV/atom
&SYSTEM
  ibrav = 0, nat = 10, ntyp = 3
/
ATOMIC_SPECIES
Sr 87.62 Sr.upf
Pt 195.08 Pt.upf
Na 22.99 Na.upf
ATOMIC_POSITIONS crystal
Sr 0.288 0.747 0.253
Sr 0.712 0.253 0.747
Sr 0.143 0.253 0.747
Sr 0.857 0.747 0.253
Sr 0.494 0.673 0.327
Sr 0.506 0.327 0.673
Pt 0.548 0.013 0.987
Pt 0.452 0.987 0.013
Na 0.150 0.576 0.424
Na 0.850 0.424 0.576
CELL_PARAMETERS angstrom
-4.897 19.173 14.931
-6.115 7.153 4.826
3.551 -9.655 -2.454

***

(4)
! Lu2PuSn (PBE, relaxed); values from VASP
! D(E_F)	11.3	states/eV per cell
! calculated formation energy	-0.294	eV/atom
&SYSTEM
  ibrav = 0, nat = 4, ntyp = 3
/
ATOMIC_SPECIES
Lu 174.97 Lu.upf
Sn 118.71 Sn.upf
Pu 244.00 Pu.upf
ATOMIC_POSITIONS crystal
Lu 0.000 0.000 0.500
Lu 0.000 0.500 0.000
Sn 0.500 0.000 0.000
Pu 0.500 0.500 0.500
CELL_PARAMETERS angstrom
-0.589 -3.530 -2.867
2.623 -2.788 2.894
-3.971 -1.269 2.377

***

(5)
! CdCu (PBE, relaxed); values from VASP
! D(E_F)	5.4	states/eV per cell
! calculated formation energy	0.115	eV/atom
&SYSTEM
  ibrav = 0, nat = 12, ntyp = 2
/
ATOMIC_SPECIES
Cd 112.41 Cd.upf
Cu 63.55 Cu.upf
ATOMIC_POSITIONS crystal
Cd 0.000 0.272 0.789
Cd 0.000 0.728 0.789
Cd 0.000 0.772 0.289
Cd 0.000 0.228 0.289
Cd 0.000 0.000 0.913
Cd 0.000 0.500 0.413
Cu 0.500 0.892 0.589
Cu 0.500 0.108 0.589
Cu 0.500 0.392 0.089
Cu 0.500 0.608 0.089
Cu 0.000 0.000 0.333
Cu 0.000 0.500 0.833
CELL_PARAMETERS angstrom
2.867 0.000 0.000
0.000 11.868 0.000
0.000 0.000 6.435

***

(6)
! CaMgH (PBE, relaxed); values from VASP
! DFT total energy	-30.31	eV per cell
! D(E_F)	4.5	states/eV per cell
&SYSTEM
  ibrav = 0, nat = 12, ntyp = 3
/
ATOMIC_SPECIES
H 1.01 H.upf
Ca 40.08 Ca.upf
Mg 24.30 Mg.upf
ATOMIC_POSITIONS crystal
H 0.556 0.668 0.593
H 0.056 0.832 0.407
H 0.444 0.332 0.407
H 0.944 0.168 0.593
Ca 0.571 0.651 0.347
Ca 0.071 0.849 0.653
Ca 0.429 0.349 0.653
Ca 0.929 0.151 0.347
Mg 0.252 0.882 0.079
Mg 0.752 0.618 0.921
Mg 0.748 0.118 0.921
Mg 0.248 0.382 0.079
CELL_PARAMETERS angstrom
-2.286 3.006 0.659
-5.468 -3.753 -1.851
-0.759 -2.566 9.076

***

(7)
! NbIr2Rh6 (PBE, relaxed); values from VASP
! D(E_F)	10.7	states/eV per cell
! calculated formation energy	-0.196	eV/atom
&SYSTEM
  ibrav = 0, nat = 9, ntyp = 3
/
ATOMIC_SPECIES
Nb 92.91 Nb.upf
Ir 192.22 Ir.upf
Rh 102.91 Rh.upf
ATOMIC_POSITIONS crystal
Nb 0.000 0.500 0.500
Ir 0.332 0.611 0.725
Ir 0.668 0.389 0.275
Rh 0.664 0.723 0.949
Rh 0.336 0.277 0.051
Rh 0.001 0.828 0.170
Rh 0.333 0.945 0.388
Rh 0.999 0.172 0.830
Rh 0.667 0.055 0.612
CELL_PARAMETERS angstrom
3.881 0.000 0.000
1.941 4.345 -0.094
1.941 1.906 7.766

***

(8)
! CePaSeS (PBE, relaxed); values from VASP
! E_form (uncorrected)	-1.56	eV/atom
! D(E_F)	8.5	states/eV per cell
&SYSTEM
  ibrav = 0, nat = 4, ntyp = 4
/
ATOMIC_SPECIES
Ce 140.12 Ce.upf
Pa 231.04 Pa.upf
Se 78.96 Se.upf
S 32.06 S.upf
ATOMIC_POSITIONS crystal
Ce 0.488 0.142 0.646
Pa 0.120 0.958 0.093
Se 0.962 0.379 0.356
S 0.308 0.552 0.875
CELL_PARAMETERS angstrom
-3.529 -1.145 -1.190
1.522 -1.464 3.274
-1.179 6.618 3.508

***

(9)
! Sr2LiRhPb (PBE, relaxed); values from VASP
! D(E_F)	3.4	states/eV per cell
! calculated formation energy	-0.201	eV/atom
&SYSTEM
  ibrav = 0, nat = 5, ntyp = 4
/
ATOMIC_SPECIES
Pb 207.20 Pb.upf
Sr 87.62 Sr.upf
Rh 102.91 Rh.upf
Li 6.94 Li.upf
ATOMIC_POSITIONS crystal
Pb 0.000 0.000 0.500
Sr 0.000 0.500 0.000
Sr 0.500 0.000 0.000
Rh 0.000 0.000 0.000
Li 0.500 0.500 0.500
CELL_PARAMETERS angstrom
-4.803 1.436 2.939
2.184 -2.479 4.780
2.202 4.571 1.365

***

(10)
! BaTaPb2 (PBE, relaxed); values from VASP
! D(E_F)	4.1	states/eV per cell
! calculated formation energy	0.439	eV/atom
&SYSTEM
  ibrav = 0, nat = 4, ntyp = 3
/
ATOMIC_SPECIES
Pb 207.20 Pb.upf
Ba 137.33 Ba.upf
Ta 180.95 Ta.upf
ATOMIC_POSITIONS crystal
Pb 0.000 0.000 0.048
Pb 0.500 0.500 0.313
Ba 0.500 0.500 0.736
Ta 0.000 0.000 0.402
CELL_PARAMETERS angstrom
-2.709 -2.836 -0.096
1.939 -1.947 2.793
-4.394 4.000 5.838

***

(11)
! Pr2Dy3Tm2 (PBE, relaxed); values from VASP
! D(E_F)	23.0	states/eV per cell
! calculated formation energy	0.207	eV/atom
&SYSTEM
  ibrav = 0, nat = 14, ntyp = 3
/
ATOMIC_SPECIES
Pr 140.91 Pr.upf
Dy 162.50 Dy.upf
Tm 168.93 Tm.upf
ATOMIC_POSITIONS crystal
Pr 0.500 0.694 0.691
Pr 0.000 0.694 0.809
Pr 0.000 0.306 0.191
Pr 0.500 0.306 0.309
Dy 0.000 0.000 0.500
Dy 0.500 0.000 0.000
Dy 0.000 0.820 0.101
Dy 0.500 0.180 0.601
Dy 0.500 0.820 0.399
Dy 0.000 0.180 0.899
Tm 0.499 0.383 0.890
Tm 0.999 0.383 0.610
Tm 0.001 0.617 0.390
Tm 0.501 0.617 0.110
CELL_PARAMETERS angstrom
9.373 -1.638 0.000
-5.497 5.510 0.000
0.000 0.000 11.021

***

(12)
! Pu3PaP4 (PBE, relaxed); values from VASP
! D(E_F)	24.6	states/eV per cell
! calculated formation energy	-1.210	eV/atom
&SYSTEM
  ibrav = 0, nat = 8, ntyp = 3
/
ATOMIC_SPECIES
Pu 244.00 Pu.upf
Pa 231.04 Pa.upf
P 30.97 P.upf
ATOMIC_POSITIONS crystal
Pu 0.000 0.000 0.500
Pu 0.500 0.500 0.500
Pu 0.000 0.500 0.000
Pa 0.500 0.000 0.000
P 0.000 0.248 0.248
P 0.500 0.751 0.249
P 0.000 0.752 0.752
P 0.500 0.249 0.751
CELL_PARAMETERS angstrom
-2.356 2.246 2.334
-5.438 -3.899 -1.737
3.049 -2.637 5.616

***

(13)
! Nb4VOs2 (PBE, relaxed); values from VASP
! D(E_F)	8.9	states/eV per cell
! calculated formation energy	0.940	eV/atom
&SYSTEM
  ibrav = 0, nat = 7, ntyp = 3
/
ATOMIC_SPECIES
Nb 92.91 Nb.upf
Os 190.23 Os.upf
V 50.94 V.upf
ATOMIC_POSITIONS crystal
Nb 0.192 0.192 0.616
Nb 0.808 0.808 0.384
Nb 0.000 0.500 0.000
Nb 0.500 0.000 0.000
Os 0.376 0.376 0.248
Os 0.624 0.624 0.752
V 0.000 0.000 0.000
CELL_PARAMETERS angstrom
-4.053 -2.010 -0.040
1.062 -2.065 -3.882
0.987 -7.109 1.416

***

(14)
! SrAc2Tb (PBE, relaxed); values from VASP
! D(E_F)	5.4	states/eV per cell
! calculated formation energy	0.162	eV/atom
&SYSTEM
  ibrav = 0, nat = 4, ntyp = 3
/
ATOMIC_SPECIES
Sr 87.62 Sr.upf
Ac 227.00 Ac.upf
Tb 158.93 Tb.upf
ATOMIC_POSITIONS crystal
Sr 0.000 0.000 0.000
Ac 0.094 0.094 0.718
Ac 0.906 0.906 0.282
Tb 0.500 0.500 0.500
CELL_PARAMETERS angstrom
3.871 0.000 0.000
1.936 3.353 0.000
1.936 1.118 13.691

***

(15)
! ScMnAg2 (PBE, relaxed); values from VASP
! D(E_F)	2.2	states/eV per cell
! calculated formation energy	0.022	eV/atom
&SYSTEM
  ibrav = 0, nat = 4, ntyp = 3
/
ATOMIC_SPECIES
Ag 107.87 Ag.upf
Mn 54.94 Mn.upf
Sc 44.96 Sc.upf
ATOMIC_POSITIONS crystal
Ag 0.000 0.982 0.018
Ag 0.000 0.518 0.482
Mn 0.500 0.250 0.250
Sc 0.500 0.750 0.750
CELL_PARAMETERS angstrom
-3.050 1.381 -0.268
-0.343 -1.354 -3.069
-2.988 -6.683 -0.421

***

(16)
! EuMgSnBi (PBE, relaxed); values from VASP
! D(E_F)	2.4	states/eV per cell
! calculated formation energy	-0.359	eV/atom
&SYSTEM
  ibrav = 0, nat = 4, ntyp = 4
/
ATOMIC_SPECIES
Eu 151.96 Eu.upf
Mg 24.30 Mg.upf
Bi 208.98 Bi.upf
Sn 118.71 Sn.upf
ATOMIC_POSITIONS crystal
Eu 0.000 0.000 0.000
Mg 0.500 0.500 0.500
Bi 0.750 0.750 0.750
Sn 0.250 0.250 0.250
CELL_PARAMETERS angstrom
5.452 0.000 0.000
2.726 4.721 0.000
2.726 1.574 4.451

***

(17)
! TaAs2BrCl (PBE, relaxed); values from VASP
! E_form (uncorrected)	1.39	eV/atom
! D(E_F)	6.3	states/eV per cell
&SYSTEM
  ibrav = 0, nat = 5, ntyp = 4
/
ATOMIC_SPECIES
As 74.92 As.upf
Cl 35.45 Cl.upf
Br 79.90 Br.upf
Ta 180.95 Ta.upf
ATOMIC_POSITIONS crystal
As 0.000 0.500 0.000
As 0.500 0.000 0.000
Cl 0.000 0.000 0.000
Br 0.000 0.000 0.500
Ta 0.500 0.500 0.500
CELL_PARAMETERS angstrom
4.649 0.000 0.000
0.000 4.649 0.000
0.000 0.000 5.680

***

(18)
! CsZnGa3 (PBE, relaxed); values from VASP
! D(E_F)	3.4	states/eV per cell
! calculated formation energy	0.249	eV/atom
&SYSTEM
  ibrav = 0, nat = 5, ntyp = 3
/
ATOMIC_SPECIES
Cs 132.91 Cs.upf
Zn 65.41 Zn.upf
Ga 69.72 Ga.upf
ATOMIC_POSITIONS crystal
Cs 0.500 0.500 0.500
Zn 0.000 0.000 0.000
Ga 0.000 0.500 0.000
Ga 0.000 0.000 0.500
Ga 0.500 0.000 0.000
CELL_PARAMETERS angstrom
-3.557 -0.417 3.835
3.799 -1.285 3.384
0.670 5.070 1.173

***

(19)
! LiZn2Re (PBE, relaxed); values from VASP
! D(E_F)	2.3	states/eV per cell
! calculated formation energy	0.698	eV/atom
&SYSTEM
  ibrav = 0, nat = 8, ntyp = 3
/
ATOMIC_SPECIES
Re 186.21 Re.upf
Zn 65.41 Zn.upf
Li 6.94 Li.upf
ATOMIC_POSITIONS crystal
Re 0.000 0.000 0.000
Re 0.750 0.250 0.500
Zn 0.624 0.125 0.250
Zn 0.126 0.625 0.250
Zn 0.375 0.376 0.750
Zn 0.875 0.874 0.750
Li 0.500 0.500 0.000
Li 0.250 0.750 0.500
CELL_PARAMETERS angstrom
3.663 0.000 0.000
0.000 3.663 0.000
1.832 1.832 8.894

***

(20)
! Sm3MgOs (PBE, relaxed); values from VASP
! D(E_F)	8.8	states/eV per cell
! calculated formation energy	-0.060	eV/atom
&SYSTEM
  ibrav = 0, nat = 10, ntyp = 3
/
ATOMIC_SPECIES
Sm 150.36 Sm.upf
Mg 24.30 Mg.upf
Os 190.23 Os.upf
ATOMIC_POSITIONS crystal
Sm 0.030 0.495 0.269
Sm 0.970 0.505 0.731
Sm 0.030 0.005 0.269
Sm 0.970 0.995 0.731
Sm 0.444 0.750 0.114
Sm 0.556 0.250 0.886
Mg 0.443 0.750 0.628
Mg 0.557 0.250 0.372
Os 0.808 0.750 0.965
Os 0.192 0.250 0.035
CELL_PARAMETERS angstrom
-5.975 -0.427 0.766
-0.803 -0.910 -6.774
2.983 -6.693 0.545